[1]
The following is a DFT calculation (PBE) of Pm3Tm2Zn3 after structural relaxation.

## Properties
Its space group is Immm (71). As for the magnetic moment: 0.00 μB/f.u. Its crystal system is orthorhombic. As for the density of states at the Fermi level: 9.8 states/eV per cell. As for the total energy: -3.6148 eV per atom.

a = 3.635 Å, b = 5.276 Å, c = 11.248 Å
α = 103.56°, β = 99.30°, γ = 90.00°
Fractional positions:
1 Pm 0.380 0.380 0.760
2 Pm 0.620 0.620 0.240
3 Pm 0.500 0.000 0.000
4 Tm 0.270 0.770 0.539
5 Tm 0.730 0.230 0.461
6 Zn 0.880 0.880 0.761
7 Zn 0.000 0.500 0.000
8 Zn 0.120 0.120 0.239

[2]
The following is a DFT calculation (PBE) of Pm2Tm3Zn2 after structural relaxation.

## Properties
Its space group is Cmmm (65). The value obtained for the distance to the lowest polymorph of the same formula is 0.000 eV/atom. As for the magnetic moment: 0.53 μB/f.u. Its crystal system is orthorhombic. As for the density of states at the Fermi level: 7.7 states/eV per cell. As for the total energy: -3.7688 eV per atom.

a = 3.595 Å, b = 3.506 Å, c = 15.233 Å
α = 90.00°, β = 96.78°, γ = 90.00°
Fractional positions:
1 Pm 0.301 0.500 0.603
2 Pm 0.699 0.500 0.397
3 Tm 0.419 0.500 0.838
4 Tm 0.581 0.500 0.162
5 Tm 0.000 0.000 0.000
6 Zn 0.136 0.000 0.272
7 Zn 0.864 0.000 0.728

[3]
The following is a DFT calculation (PBE) of Pm2TmZn5 after structural relaxation.

## Properties
Its space group is I4/mmm (139). As for the magnetic moment: 0.00 μB/f.u. Its crystal system is tetragonal. As for the density of states at the Fermi level: 4.6 states/eV per cell. As for the total energy: -2.8292 eV per atom.

a = 4.838 Å, b = 4.838 Å, c = 7.976 Å
α = 107.65°, β = 107.65°, γ = 90.00°
Fractional positions:
1 Pm 0.733 0.733 0.466
2 Pm 0.267 0.267 0.534
3 Tm 0.000 0.000 0.000
4 Zn 0.500 0.500 0.000
5 Zn 0.891 0.391 0.782
6 Zn 0.391 0.891 0.782
7 Zn 0.109 0.609 0.218
8 Zn 0.609 0.109 0.218

[4]
The following is a DFT calculation (PBE) of PmTmZn after structural relaxation.

## Properties
Its space group is F-43m (216). The value obtained for the distance to the lowest polymorph of the same formula is 0.232 eV/atom. As for the magnetic moment: 0.00 μB/f.u. Its crystal system is cubic. As for the density of states at the Fermi level: 4.3 states/eV per cell. As for the total energy: -3.4721 eV per atom.

a = 4.973 Å, b = 4.973 Å, c = 4.973 Å
α = 60.00°, β = 60.00°, γ = 60.00°
Fractional positions:
1 Zn 0.250 0.250 0.250
2 Tm 0.000 0.000 0.000
3 Pm 0.500 0.500 0.500

[5]
The following is a DFT calculation (PBE) of Pm2TmZn6 after structural relaxation.

## Properties
Its space group is P6/mmm (191). As for the magnetic moment: 0.00 μB/f.u. Its crystal system is hexagonal. As for the density of states at the Fermi level: 7.3 states/eV per cell. As for the total energy: -2.7610 eV per atom.

a = 3.537 Å, b = 7.833 Å, c = 7.833 Å
α = 120.00°, β = 90.00°, γ = 90.00°
Fractional positions:
1 Pm 0.000 0.333 0.667
2 Pm 0.000 0.667 0.333
3 Tm 0.000 0.000 0.000
4 Zn 0.500 0.329 0.329
5 Zn 0.500 0.671 0.671
6 Zn 0.500 0.000 0.671
7 Zn 0.500 0.671 0.000
8 Zn 0.500 0.329 0.000
9 Zn 0.500 0.000 0.329

[6]
The following is a DFT calculation (PBE) of PmTm3Zn2 after structural relaxation.

## Properties
Its space group is P4/mmm (123). As for the magnetic moment: 0.00 μB/f.u. Its crystal system is tetragonal. As for the density of states at the Fermi level: 5.5 states/eV per cell. As for the total energy: -3.6855 eV per atom.

a = 3.529 Å, b = 3.529 Å, c = 12.176 Å
α = 90.00°, β = 90.00°, γ = 90.00°
Fractional positions:
1 Pm 0.500 0.500 0.500
2 Tm 0.000 0.000 0.000
3 Tm 0.000 0.000 0.714
4 Tm 0.000 0.000 0.286
5 Zn 0.500 0.500 0.858
6 Zn 0.500 0.500 0.142

[7]
The following is a DFT calculation (PBE) of Pm2Tm3Zn2 after structural relaxation.

## Properties
Its space group is C2/m (12). The value obtained for the distance to the lowest polymorph of the same formula is 0.039 eV/atom. As for the magnetic moment: 0.00 μB/f.u. Its crystal system is monoclinic. As for the density of states at the Fermi level: 9.2 states/eV per cell. As for the total energy: -3.7301 eV per atom.

a = 4.716 Å, b = 6.184 Å, c = 8.045 Å
α = 114.74°, β = 90.00°, γ = 112.41°
Fractional positions:
1 Pm 0.864 0.728 0.209
2 Pm 0.136 0.272 0.791
3 Tm 0.500 0.000 0.000
4 Tm 0.634 0.268 0.461
5 Tm 0.366 0.732 0.539
6 Zn 0.856 0.711 0.808
7 Zn 0.144 0.289 0.192

[8]
The following is a DFT calculation (PBE) of Pm3TmZn8 after structural relaxation.

## Properties
Its space group is P3m1 (156). The value obtained for the distance to the lowest polymorph of the same formula is 0.015 eV/atom. As for the magnetic moment: 0.00 μB/f.u. Its crystal system is trigonal. As for the density of states at the Fermi level: 7.3 states/eV per cell. As for the total energy: -2.7181 eV per atom.

a = 5.623 Å, b = 5.623 Å, c = 8.689 Å
α = 90.00°, β = 90.00°, γ = 120.00°
Fractional positions:
1 Pm 0.667 0.333 0.445
2 Pm 0.667 0.333 0.052
3 Pm 0.000 0.000 0.944
4 Tm 0.000 0.000 0.556
5 Zn 0.333 0.667 0.498
6 Zn 0.333 0.667 0.002
7 Zn 0.498 0.996 0.747
8 Zn 0.498 0.502 0.747
9 Zn 0.004 0.502 0.747
10 Zn 0.166 0.331 0.253
11 Zn 0.166 0.834 0.253
12 Zn 0.669 0.834 0.253

[9]
The following is a DFT calculation (PBE) of PmTm5Zn6 after structural relaxation.

## Properties
Its space group is Cmmm (65). As for the magnetic moment: 0.00 μB/f.u. Its crystal system is orthorhombic. As for the density of states at the Fermi level: 12.8 states/eV per cell. As for the total energy: -3.2357 eV per atom.

a = 4.995 Å, b = 7.115 Å, c = 7.926 Å
α = 90.00°, β = 71.63°, γ = 90.00°
Fractional positions:
1 Zn 0.830 0.743 0.340
2 Zn 0.830 0.257 0.340
3 Zn 0.500 0.257 0.000
4 Zn 0.500 0.743 0.000
5 Zn 0.170 0.743 0.660
6 Zn 0.170 0.257 0.660
7 Tm 0.664 0.500 0.671
8 Tm 0.331 0.000 0.337
9 Tm 0.000 0.500 0.000
10 Tm 0.669 0.000 0.663
11 Tm 0.336 0.500 0.329
12 Pm 0.000 0.000 0.000

[10]
The following is a DFT calculation (PBE) of Pm3TmZn8 after structural relaxation.

## Properties
Its space group is R3m (160). The value obtained for the distance to the lowest polymorph of the same formula is 0.000 eV/atom. As for the magnetic moment: 0.00 μB/f.u. Its crystal system is trigonal. As for the density of states at the Fermi level: 5.7 states/eV per cell. As for the total energy: -2.7327 eV per atom.

a = 5.527 Å, b = 5.527 Å, c = 9.534 Å
α = 73.15°, β = 73.15°, γ = 60.00°
Fractional positions:
1 Pm 0.375 0.375 0.876
2 Pm 0.000 0.000 0.999
3 Pm 0.499 0.499 0.502
4 Tm 0.876 0.876 0.373
5 Zn 0.935 0.437 0.191
6 Zn 0.441 0.938 0.684
7 Zn 0.437 0.437 0.191
8 Zn 0.938 0.938 0.684
9 Zn 0.187 0.187 0.438
10 Zn 0.688 0.688 0.937
11 Zn 0.437 0.935 0.191
12 Zn 0.938 0.441 0.684

[11]
The following is a DFT calculation (PBE) of Pm6TmZn2 after structural relaxation.

## Properties
Its space group is C2/m (12). As for the magnetic moment: 0.00 μB/f.u. Its crystal system is monoclinic. As for the density of states at the Fermi level: 9.2 states/eV per cell. As for the total energy: -4.0827 eV per atom.

a = 3.692 Å, b = 6.620 Å, c = 11.664 Å
α = 76.47°, β = 80.89°, γ = 73.81°
Fractional positions:
1 Pm 0.689 0.498 0.124
2 Pm 0.311 0.502 0.876
3 Pm 0.312 0.784 0.592
4 Pm 0.972 0.730 0.325
5 Pm 0.028 0.270 0.675
6 Pm 0.688 0.216 0.408
7 Tm 0.000 0.000 0.000
8 Zn 0.357 0.093 0.193
9 Zn 0.643 0.907 0.807

[12]
The following is a DFT calculation (PBE) of Pm2TmZn after structural relaxation.

## Properties
Its space group is I4/mmm (139). The value obtained for the distance to the lowest polymorph of the same formula is 0.000 eV/atom. As for the magnetic moment: 0.00 μB/f.u. Its crystal system is tetragonal. As for the density of states at the Fermi level: 8.7 states/eV per cell. As for the total energy: -3.9692 eV per atom.

a = 5.095 Å, b = 5.095 Å, c = 9.404 Å
α = 105.72°, β = 105.72°, γ = 90.00°
Fractional positions:
1 Pm 0.000 0.500 0.000
2 Pm 0.500 0.000 0.000
3 Pm 0.355 0.355 0.710
4 Pm 0.645 0.645 0.290
5 Tm 0.150 0.150 0.299
6 Tm 0.850 0.850 0.701
7 Zn 0.250 0.750 0.500
8 Zn 0.750 0.250 0.500

[13]
The following is a DFT calculation (PBE) of Pm2TmZn after structural relaxation.

## Properties
Its space group is P4/mmm (123). The value obtained for the distance to the lowest polymorph of the same formula is 0.018 eV/atom. As for the magnetic moment: 0.00 μB/f.u. Its crystal system is tetragonal. As for the density of states at the Fermi level: 4.0 states/eV per cell. As for the total energy: -3.9513 eV per atom.

a = 3.633 Å, b = 3.633 Å, c = 8.633 Å
α = 90.00°, β = 90.00°, γ = 90.00°
Fractional positions:
1 Zn 0.500 0.500 0.000
2 Tm 0.500 0.500 0.500
3 Pm 0.000 0.000 0.788
4 Pm 0.000 0.000 0.212

[14]
The following is a DFT calculation (PBE) of Pm2TmZn after structural relaxation.

## Properties
Its space group is Fm-3m (225). The value obtained for the distance to the lowest polymorph of the same formula is 0.171 eV/atom. As for the magnetic moment: 0.00 μB/f.u. Its crystal system is cubic. As for the density of states at the Fermi level: 4.7 states/eV per cell. As for the total energy: -3.7983 eV per atom.

a = 5.399 Å, b = 5.399 Å, c = 5.399 Å
α = 60.00°, β = 60.00°, γ = 60.00°
Fractional positions:
1 Zn 0.500 0.500 0.500
2 Tm 0.000 0.000 0.000
3 Pm 0.250 0.250 0.250
4 Pm 0.750 0.750 0.750

[15]
The following is a DFT calculation (PBE) of PmTm3Zn after structural relaxation.

## Properties
Its space group is C2/m (12). As for the magnetic moment: 0.00 μB/f.u. Its crystal system is monoclinic. As for the density of states at the Fermi level: 19.2 states/eV per cell. As for the total energy: -3.8094 eV per atom.

a = 7.310 Å, b = 7.310 Å, c = 7.354 Å
α = 106.08°, β = 115.96°, γ = 106.31°
Fractional positions:
1 Pm 0.720 0.064 0.785
2 Pm 0.280 0.936 0.215
3 Tm 0.843 0.050 0.278
4 Tm 0.228 0.435 0.278
5 Tm 0.772 0.565 0.722
6 Tm 0.721 0.445 0.166
7 Tm 0.157 0.950 0.722
8 Tm 0.279 0.555 0.834
9 Zn 0.627 0.751 0.378
10 Zn 0.373 0.249 0.622

[16]
The following is a DFT calculation (PBE) of PmTmZn4 after structural relaxation.

## Properties
Its space group is F-43m (216). The value obtained for the distance to the lowest polymorph of the same formula is 0.034 eV/atom. As for the magnetic moment: 0.00 μB/f.u. Its crystal system is cubic. As for the density of states at the Fermi level: 1.5 states/eV per cell. As for the total energy: -2.7107 eV per atom.

a = 5.483 Å, b = 5.483 Å, c = 5.483 Å
α = 60.00°, β = 60.00°, γ = 60.00°
Fractional positions:
1 Zn 0.625 0.625 0.124
2 Zn 0.625 0.124 0.625
3 Zn 0.625 0.625 0.625
4 Zn 0.124 0.625 0.625
5 Tm 0.000 0.000 0.000
6 Pm 0.250 0.250 0.250

[17]
The following is a DFT calculation (PBE) of PmTmZn4 after structural relaxation.

## Properties
Its space group is Immm (71). The value obtained for the distance to the lowest polymorph of the same formula is 0.000 eV/atom. As for the magnetic moment: 0.00 μB/f.u. Its crystal system is orthorhombic. As for the density of states at the Fermi level: 5.4 states/eV per cell. As for the total energy: -2.7444 eV per atom.

a = 4.490 Å, b = 5.720 Å, c = 5.720 Å
α = 76.86°, β = 66.89°, γ = 66.89°
Fractional positions:
1 Pm 0.000 0.500 0.500
2 Tm 0.000 0.000 0.000
3 Zn 0.666 0.589 0.078
4 Zn 0.334 0.922 0.411
5 Zn 0.334 0.411 0.922
6 Zn 0.666 0.078 0.589

[18]
The following is a DFT calculation (PBE) of Pm2TmZn3 after structural relaxation.

## Properties
Its space group is P4/mmm (123). The value obtained for the distance to the lowest polymorph of the same formula is 0.002 eV/atom. As for the magnetic moment: 0.00 μB/f.u. Its crystal system is tetragonal. As for the density of states at the Fermi level: 6.9 states/eV per cell. As for the total energy: -3.2858 eV per atom.

a = 3.600 Å, b = 3.600 Å, c = 10.918 Å
α = 90.00°, β = 90.00°, γ = 90.00°
Fractional positions:
1 Pm 0.500 0.500 0.829
2 Pm 0.500 0.500 0.171
3 Tm 0.500 0.500 0.500
4 Zn 0.000 0.000 0.000
5 Zn 0.000 0.000 0.653
6 Zn 0.000 0.000 0.347

[19]
The following is a DFT calculation (PBE) of Pm2TmZn after structural relaxation.

## Properties
Its space group is R-3m (166). The value obtained for the distance to the lowest polymorph of the same formula is 0.400 eV/atom. As for the magnetic moment: 0.00 μB/f.u. Its crystal system is trigonal. As for the density of states at the Fermi level: 4.0 states/eV per cell. As for the total energy: -3.5696 eV per atom.

a = 3.483 Å, b = 3.483 Å, c = 12.124 Å
α = 81.74°, β = 81.74°, γ = 60.00°
Fractional positions:
1 Zn 0.000 0.000 0.000
2 Tm 0.500 0.500 0.500
3 Pm 0.087 0.087 0.738
4 Pm 0.913 0.913 0.262

[20]
The following is a DFT calculation (PBE) of Pm4Tm3Zn after structural relaxation.

## Properties
Its space group is P4/mmm (123). As for the magnetic moment: 0.00 μB/f.u. Its crystal system is tetragonal. As for the density of states at the Fermi level: 10.6 states/eV per cell. As for the total energy: -4.2703 eV per atom.

a = 3.615 Å, b = 3.615 Å, c = 18.572 Å
α = 90.00°, β = 90.00°, γ = 90.00°
Fractional positions:
1 Zn 0.500 0.500 0.000
2 Tm 0.500 0.500 0.235
3 Tm 0.500 0.500 0.500
4 Tm 0.500 0.500 0.765
5 Pm 0.000 0.000 0.901
6 Pm 0.000 0.000 0.099
7 Pm 0.000 0.000 0.367
8 Pm 0.000 0.000 0.633